Record 1
VASP calculation (GGA-PBE) on La2TcHg after structural relaxation.

Computed properties:
The space group is P4mm. The calculation puts the formation energy at 0.68 eV per formula unit. Its density of states at the Fermi level is 4.2 states/eV/f.u. The value obtained for the size of the total moment is 0.0 μB/cell. Its total energy is -4.961 eV per atom.

```
La2TcHg
1.0
3.771 0.000 0.000
0.000 3.771 0.000
0.000 0.000 6.995
La Tc Hg
2 1 1
Direct
0.000 0.000 0.000 La
0.500 0.500 0.322 La
0.000 0.000 0.560 Tc
0.500 0.500 0.756 Hg
```

=====

Record 2
VASP calculation (GGA-PBE) on GeSbMoI2 after structural relaxation.

Computed properties:
The space group is P4/mmm. Its density of states at the Fermi level is 3.2 states/eV/f.u. As for the uncorrected formation energy: 762 meV/atom. The calculation puts the relative energy among the computed polymorphs at 0 meV/atom. The value obtained for the size of the total moment is 3.0 μB/cell. Its total energy is -3.773 eV per atom.

```
GeSbMoI2
1.0
5.544 0.000 0.000
0.000 5.544 0.000
0.000 0.000 5.360
Ge Sb Mo I
1 1 1 2
Direct
0.000 0.000 0.000 Ge
0.500 0.500 0.000 Sb
0.500 0.500 0.500 Mo
0.000 0.500 0.500 I
0.500 0.000 0.500 I
```